(1)
First-principles (PBE) data for a geometry-optimized Ac3Nd4 structure, as listed in Alexandria.

Cell: 11.936 5.435 8.582 Å, 90.00 98.70 90.00°
Space group C2/m (No. 12)
One atom of each set of equivalent atoms:
Ac (0.000, 0.000, 0.000)
Ac (0.074, 0.500, 0.715)
Nd (0.144, 0.000, 0.434)
Nd (0.213, 0.500, 0.148)

- total DFT energy (no corrections) (eV for the cell shown) = -62.3
- ΔH_f (0 K) (kJ/mol of atoms) = 3
- magnetic moment (μB/f.u.) = 0.000

=====

(2)
First-principles (PBE) data for a geometry-optimized UIn2SnO8 structure, as listed in Alexandria.

Cell: 4.942 6.704 4.945 Å, 90.00 92.01 90.00°
Space group P2/m (No. 10)
One atom of each set of equivalent atoms:
U (0.000, 0.000, 0.000)
In (0.500, 0.258, 0.500)
Sn (0.000, 0.500, 0.000)
O (0.188, 0.247, 0.813)
O (0.294, 0.500, 0.296)
O (0.300, 0.000, 0.301)

- total DFT energy (no corrections) (eV for the cell shown) = -85.0
- E_form (uncorrected) (eV/atom) = -2.05
- magnetic moment (μB/f.u.) = 0.000